VASP calculation (PBE-GGA) on a relaxed structure of AsIrIBr2.

```
5
Lattice="5.2168 0.0000 0.0000 0.0000 5.2168 0.0000 0.0000 0.0000 4.7948" Properties=species:S:1:pos:R:3 pbc="T T T"
As 0.0000 0.0000 0.0000
Ir 0.0000 0.0000 2.3974
I 2.6084 2.6084 0.0000
Br 0.0000 2.6084 2.3974
Br 2.6084 0.0000 2.3974
```

Values from the calculation:
total energy: -3.3223 eV per atom
symmetry: P4/mmm
M_tot: 0.00 μB/f.u.
crystal system: tetragonal
E above lowest polymorph: 0 meV per atom